Entry 1:
4
Lattice="0.000 3.000 3.000 3.000 0.000 3.000 3.000 3.000 0.000" Properties=species:S:1:pos:R:3 comment="OsCl2F | Alexandria via LeMat-Bulk | PBE-GGA | optimized geometry" dos_at_fermi_per_ev_cell=2.713 final_energy_ev_per_atom=-3.821 pbc="T T T"
Os 0.000 0.000 0.000
Cl 1.500 1.500 1.500
Cl 4.500 4.500 4.500
F 3.000 3.000 3.000

---

Entry 2:
12
Lattice="-3.378 3.378 3.317 3.378 -3.378 3.317 3.378 3.378 -3.317" Properties=species:S:1:pos:R:3 comment="LiPuGa2O8 | Alexandria via LeMat-Bulk | PBE-GGA | optimized geometry" dos_at_fermi_per_ev_cell=5.972 final_energy_ev_per_atom=-6.593 pbc="T T T"
Li 0.000 0.000 0.000
Pu 0.000 3.378 1.658
Ga 3.378 0.000 1.658
Ga 0.000 0.000 3.317
O 2.086 0.000 0.317
O 4.670 0.000 0.317
O 3.378 1.955 -1.166
O 3.378 -1.292 2.999
O 0.000 1.424 2.151
O 3.378 1.292 2.999
O 1.955 3.378 1.166
O 1.424 0.000 4.482

---

Entry 3:
12
Lattice="5.978 0.000 0.000 -2.989 5.177 0.000 0.000 0.000 6.864" Properties=species:S:1:pos:R:3 comment="Ba3MgCu2O6 | Alexandria via LeMat-Bulk | PBE-GGA | optimized geometry" dos_at_fermi_per_ev_cell=4.277 final_energy_ev_per_atom=-5.530 pbc="T T T"
Ba 0.000 0.000 0.000
Ba 0.000 3.452 4.513
Ba 2.989 1.726 2.350
Mg 0.000 0.000 3.432
Cu 0.000 3.452 1.566
Cu 2.989 1.726 5.298
O 0.000 1.670 2.104
O -1.543 4.342 2.104
O 1.446 0.835 4.759
O 1.543 4.342 2.104
O 4.532 0.835 4.759
O 2.989 3.508 4.759

---

Entry 4:
20
Lattice="6.370 3.678 4.832 -6.370 3.678 4.832 0.000 -7.356 4.832" Properties=species:S:1:pos:R:3 comment="La7Tb12Sc | Alexandria via LeMat-Bulk | PBE-GGA | optimized geometry" dos_at_fermi_per_ev_cell=31.105 final_energy_ev_per_atom=-4.581 delta_e_f_ev_per_atom=0.24 pbc="T T T"
La 0.000 0.000 0.000
La -1.572 -1.486 4.741
La -0.501 2.105 4.741
La 2.073 -0.618 4.741
La -2.073 0.618 9.754
La 0.501 -2.105 9.754
La 1.572 1.486 9.754
Tb -1.839 -5.569 6.435
Tb -5.743 -1.192 8.061
Tb -3.529 0.900 6.403
Tb -2.544 -2.606 8.093
Tb -3.903 4.377 6.435
Tb 0.985 -3.506 6.403
Tb -0.985 3.506 8.093
Tb 3.903 -4.377 8.061
Tb 2.544 2.606 6.403
Tb 3.529 -0.900 8.093
Tb 5.743 1.192 6.435
Tb 1.839 5.569 8.061
Sc 0.000 0.000 7.248

---

Entry 5:
11
Lattice="5.425 -3.133 0.000 5.425 3.133 0.000 -3.616 0.000 6.210" Properties=species:S:1:pos:R:3 comment="Rb2PaRe2N6 | Alexandria via LeMat-Bulk | PBE-GGA | optimized geometry" dos_at_fermi_per_ev_cell=4.467 final_energy_ev_per_atom=-8.384 pbc="T T T"
Rb 1.811 0.000 0.998
Rb 5.422 0.000 5.212
Pa -1.808 0.000 3.105
Re 1.805 0.000 4.895
Re 5.428 0.000 1.315
N 0.051 0.000 4.438
N 2.679 1.517 4.433
N 4.554 1.517 1.777
N 2.679 -1.517 4.433
N 4.554 -1.517 1.777
N 7.183 0.000 1.772

---

Entry 6:
5
Lattice="4.305 0.000 0.000 0.000 4.305 0.000 0.000 0.000 4.305" Properties=species:S:1:pos:R:3 comment="CdCoNi3 | Alexandria via LeMat-Bulk | PBE-GGA | optimized geometry" dos_at_fermi_per_ev_cell=5.082 final_energy_ev_per_atom=-4.296 delta_e_f_ev_per_atom=0.78 pbc="T T T"
Cd 0.000 0.000 0.000
Co 2.153 2.153 2.153
Ni 0.000 2.153 2.153
Ni 2.153 0.000 2.153
Ni 2.153 2.153 0.000

---

Entry 7:
5
Lattice="5.487 0.000 0.000 0.000 5.487 0.000 0.000 0.000 5.487" Properties=species:S:1:pos:R:3 comment="RbYSe3 | Alexandria via LeMat-Bulk | PBE-GGA | optimized geometry" dos_at_fermi_per_ev_cell=3.359 final_energy_ev_per_atom=-3.192 pbc="T T T"
Rb 0.000 0.000 0.000
Y 2.743 2.743 2.743
Se 0.000 0.000 2.743
Se 0.000 2.743 0.000
Se 2.743 0.000 0.000

---

Entry 8:
12
Lattice="3.068 -5.311 0.000 3.068 5.311 0.000 -2.036 0.000 11.565" Properties=species:S:1:pos:R:3 comment="Tb6PrSm3Sc2 | Alexandria via LeMat-Bulk | PBE-GGA | optimized geometry" dos_at_fermi_per_ev_cell=16.423 final_energy_ev_per_atom=-4.911 delta_e_f_ev_per_atom=0.04 pbc="T T T"
Tb -0.008 1.788 8.734
Tb 1.006 0.000 2.830
Tb -0.008 -1.788 8.734
Tb 4.107 1.788 2.831
Tb 3.094 0.000 8.735
Tb 4.107 -1.788 2.831
Pr 3.068 0.000 0.000
Sm -1.018 0.000 5.782
Sm 2.050 1.776 5.782
Sm 2.050 -1.776 5.782
Sc 3.068 3.539 0.000
Sc 3.068 -3.539 0.000